ReAs4Ir, relaxed, DFT PBE; calculated formation energy = 1.180 eV per atom; energy = -32.83 eV for the cell shown
1.0
0.000 3.720 3.720
3.720 0.000 3.720
3.720 3.720 0.000
Re As Ir
1 4 1
direct
0.000 0.000 0.000
0.375 0.375 0.375
0.375 0.375 0.875
0.375 0.875 0.375
0.875 0.375 0.375
0.750 0.750 0.750